(1)
A plane-wave DFT calculation with PBE was carried out for an optimized crystal structure of BeNbNi.

a = 5.2361 Å, b = 5.2361 Å, c = 5.2361 Å
α = 149.52°, β = 149.52°, γ = 43.65°
With the nearest neighbours (Å) after each atom.
Element x y z (fractional)
Be1 0.0000 0.0000 0.0000  4 Ni 2.24
Nb1 0.6889 0.6889 0.0000  4 Be 2.68, 5 Ni 2.74-2.94, 4 Nb 2.75
Ni1 0.3868 0.3868 0.0000  4 Be 2.24

Mass density in g/cm3: 7.2
DFT total energy in eV per atom: -6.73
DFT formation energy in kJ/mol of formula units: -60
V in Å³ per atom: 12.28
Distance to the lowest polymorph of the same formula in meV per atom: 109
Space group: No. 107

=====

(2)
A plane-wave DFT calculation with PBE was carried out for an optimized crystal structure of Be6Nb2Ni21.

a = 7.5840 Å, b = 7.5840 Å, c = 7.5840 Å
α = 60.00°, β = 60.00°, γ = 60.00°
With the nearest neighbours (Å) after each atom.
Element x y z (fractional)
Be1 0.2294 0.2294 0.7706  8 Ni 2.12-2.16
Be2 0.2294 0.7706 0.2294  8 Ni 2.12-2.16
Be3 0.2294 0.7706 0.7706  8 Ni 2.12-2.16
Be4 0.7706 0.2294 0.2294  8 Ni 2.12-2.16
Be5 0.7706 0.2294 0.7706  8 Ni 2.12-2.16
Be6 0.7706 0.7706 0.2294  8 Ni 2.12-2.16
Nb1 0.2500 0.2500 0.2500  4 Ni 2.43
Nb2 0.7500 0.7500 0.7500  4 Ni 2.43
Ni1 0.1190 0.1190 0.1190  3 Be 2.16
Ni2 0.1190 0.1190 0.6429  3 Be 2.16
Ni3 0.1190 0.6429 0.1190  3 Be 2.16
Ni4 0.1573 0.5000 0.5000  2 Be 2.12
Ni5 0.1573 0.5000 0.8427  2 Be 2.12
Ni6 0.1573 0.8427 0.5000  2 Be 2.12
Ni7 0.3571 0.8810 0.8810  3 Be 2.16
Ni8 0.5000 0.1573 0.5000  2 Be 2.12
Ni9 0.5000 0.1573 0.8427  2 Be 2.12
Ni10 0.5000 0.5000 0.1573  2 Be 2.12
Ni11 0.5000 0.5000 0.5000  12 Ni 2.60, 6 Be 2.90
Ni12 0.5000 0.5000 0.8427  2 Be 2.12
Ni13 0.5000 0.8427 0.1573  2 Be 2.12
Ni14 0.5000 0.8427 0.5000  2 Be 2.12
Ni15 0.6429 0.1190 0.1190  3 Be 2.16
Ni16 0.8427 0.1573 0.5000  2 Be 2.12
Ni17 0.8427 0.5000 0.1573  2 Be 2.12
Ni18 0.8427 0.5000 0.5000  2 Be 2.12
Ni19 0.8810 0.3571 0.8810  3 Be 2.16
Ni20 0.8810 0.8810 0.3571  3 Be 2.16
Ni21 0.8810 0.8810 0.8810  3 Be 2.16

Mass density in g/cm3: 7.9
DFT total energy in eV per atom: -5.86
DFT formation energy in kJ/mol of formula units: -569
V in Å³ per atom: 10.64
Space group: No. 225

=====

(3)
A plane-wave DFT calculation with PBE was carried out for an optimized crystal structure of BeNb3Ni.

a = 4.3605 Å, b = 4.3605 Å, c = 4.3605 Å
α = 90.00°, β = 90.00°, γ = 90.00°
With the nearest neighbours (Å) after each atom.
Element x y z (fractional)
Be1 0.0000 0.0000 0.0000  6 Nb 2.18
Nb1 0.0000 0.0000 0.5000  2 Be 2.18
Nb2 0.0000 0.5000 0.0000  2 Be 2.18
Nb3 0.5000 0.0000 0.0000  2 Be 2.18
Ni1 0.5000 0.5000 0.5000  12 Nb 3.08

Mass density in g/cm3: 6.9
DFT total energy in eV per atom: -7.27
DFT formation energy in kJ/mol of formula units: 324
V in Å³ per atom: 16.58
Distance to the lowest polymorph of the same formula in meV per atom: 0
Space group: No. 221

=====

(4)
A plane-wave DFT calculation with PBE was carried out for an optimized crystal structure of Be17NbNi.

a = 5.5115 Å, b = 5.5115 Å, c = 5.5115 Å
α = 82.78°, β = 82.78°, γ = 82.78°
With the nearest neighbours (Å) after each atom.
Element x y z (fractional)
Be1 0.0506 0.0506 0.0506  7 Be 2.16-2.27
Be2 0.1488 0.4607 0.8582  8 Be 2.08-2.27
Be3 0.1488 0.8582 0.4607  8 Be 2.08-2.27
Be4 0.1680 0.1680 0.6485  10 Be 2.08-2.27
Be5 0.1680 0.6485 0.1680  10 Be 2.08-2.27
Be6 0.2532 0.2532 0.2532  7 Be 2.16-2.34
Be7 0.3058 0.8090 0.8090  9 Be 2.09-2.24
Be8 0.4607 0.1488 0.8582  8 Be 2.08-2.27
Be9 0.4607 0.8582 0.1488  8 Be 2.08-2.27
Be10 0.5056 0.5056 0.9889  9 Be 2.09-2.34
Be11 0.5056 0.9889 0.5056  9 Be 2.09-2.34
Be12 0.6485 0.1680 0.1680  10 Be 2.08-2.27
Be13 0.8090 0.3058 0.8090  9 Be 2.09-2.24
Be14 0.8090 0.8090 0.3058  9 Be 2.09-2.24
Be15 0.8582 0.1488 0.4607  8 Be 2.08-2.27
Be16 0.8582 0.4607 0.1488  8 Be 2.08-2.27
Be17 0.9889 0.5056 0.5056  9 Be 2.09-2.34
Nb1 0.4953 0.4953 0.4953  19 Be 2.58-2.78
Ni1 0.8091 0.8091 0.8091  16 Be 2.52-2.77

Mass density in g/cm3: 3.1
DFT total energy in eV per atom: -4.31
DFT formation energy in kJ/mol of formula units: -253
V in Å³ per atom: 8.62
Space group: No. 160

=====

(5)
A plane-wave DFT calculation with PBE was carried out for an optimized crystal structure of Be7Nb3Ni2.

a = 7.6758 Å, b = 7.6758 Å, c = 7.6758 Å
α = 34.90°, β = 34.90°, γ = 34.90°
With the nearest neighbours (Å) after each atom.
Element x y z (fractional)
Be1 0.0000 0.0000 0.0000  6 Be 2.25
Be2 0.0863 0.0863 0.5778  2 Ni 2.23-2.25, 5 Be 2.25-2.34
Be3 0.0863 0.5778 0.0863  2 Ni 2.23-2.25, 5 Be 2.25-2.34
Be4 0.4222 0.9137 0.9137  2 Ni 2.23-2.25, 5 Be 2.25-2.34
Be5 0.5778 0.0863 0.0863  2 Ni 2.23-2.25, 5 Be 2.25-2.34
Be6 0.9137 0.4222 0.9137  2 Ni 2.23-2.25, 5 Be 2.25-2.34
Be7 0.9137 0.9137 0.4222  2 Ni 2.23-2.25, 5 Be 2.25-2.34
Nb1 0.3575 0.3575 0.3575  12 Be 2.63-2.71, 3 Nb 2.85
Nb2 0.5000 0.5000 0.5000  6 Ni 2.66, 12 Be 2.92
Nb3 0.6425 0.6425 0.6425  12 Be 2.63-2.71, 3 Nb 2.85
Ni1 0.1656 0.1656 0.1656  6 Be 2.23-2.25
Ni2 0.8344 0.8344 0.8344  6 Be 2.23-2.25

Mass density in g/cm3: 5.8
DFT total energy in eV per atom: -5.94
DFT formation energy in kJ/mol of formula units: -325
V in Å³ per atom: 11.01
Space group: No. 166

=====

(6)
A plane-wave DFT calculation with PBE was carried out for an optimized crystal structure of BeNbNi3.

a = 3.9344 Å, b = 3.9344 Å, c = 3.9344 Å
α = 90.00°, β = 90.00°, γ = 90.00°
With the nearest neighbours (Å) after each atom.
Element x y z (fractional)
Be1 0.0000 0.0000 0.0000  6 Ni 1.97
Nb1 0.5000 0.5000 0.5000  12 Ni 2.78
Ni1 0.0000 0.0000 0.5000  2 Be 1.97
Ni2 0.0000 0.5000 0.0000  2 Be 1.97
Ni3 0.5000 0.0000 0.0000  2 Be 1.97

Mass density in g/cm3: 7.6
DFT total energy in eV per atom: -6.07
DFT formation energy in kJ/mol of formula units: 77
V in Å³ per atom: 12.18
Distance to the lowest polymorph of the same formula in meV per atom: 0
Space group: No. 221